No. 1
La2GeS4: relaxed, PBE-GGA.

Results
The uncorrected energy comes out at -82.80 eV/cell.

a = 6.4215 Å, b = 6.3282 Å, c = 8.6214 Å
α = 90.00°, β = 107.54°, γ = 90.00°
Sites, in units of the cell vectors:
La: 0.7587 0.7500 0.0637
La: 0.2414 0.2500 0.9363
La: 0.2490 0.2500 0.4482
La: 0.7510 0.7500 0.5518
Ge: 0.2301 0.7500 0.1887
Ge: 0.7699 0.2500 0.8113
S: 0.4933 0.4946 0.2397
S: 0.0612 0.7500 0.8573
S: 0.9388 0.2500 0.1427
S: 0.4933 0.0054 0.2397
S: 0.8872 0.2500 0.5628
S: 0.5067 0.9946 0.7603
S: 0.5067 0.5054 0.7603
S: 0.1128 0.7500 0.4372

No. 2
La2GeS: relaxed, PBE-GGA.

Results
The uncorrected energy comes out at -98.84 eV/cell.

a = 6.0735 Å, b = 6.0738 Å, c = 12.2061 Å
α = 89.99°, β = 90.00°, γ = 90.00°
Sites, in units of the cell vectors:
La: 0.7502 0.0001 0.8778
La: 0.2498 0.9999 0.1222
La: 0.7502 0.4999 0.6222
La: 0.2498 0.5001 0.3778
La: 0.7499 0.4999 0.1279
La: 0.2501 0.5001 0.8721
La: 0.7499 0.0001 0.3721
La: 0.2501 0.9999 0.6279
Ge: 0.2499 0.0001 0.3750
Ge: 0.7501 0.9999 0.6250
Ge: 0.2499 0.4999 0.1250
Ge: 0.7501 0.5001 0.8750
S: 0.2501 0.4998 0.6250
S: 0.7499 0.5002 0.3750
S: 0.2501 0.0002 0.8750
S: 0.7499 0.9998 0.1250